First-principles (PBE) data for a geometry-optimized CsMoS2Cl structure, as listed in Alexandria via LeMat-Bulk.

Computed properties:
Total energy, eV per atom: -2.966
Raw formation energy, kJ per mole of atoms: 134.2
Total moment, μB per cell: 4.0
ρ, g cm⁻³: 3.0
Energy relative to the lowest polymorph listed for this composition, meV per atom: 2136

Lattice parameters (Å, degrees): 5.442 5.442 6.086 90.00 90.00 90.00
Atoms (fractional coordinates):
S (0.000, 0.500, 0.000)
S (0.500, 0.000, 0.000)
Cl (0.000, 0.000, 0.500)
Mo (0.500, 0.500, 0.500)
Cs (0.000, 0.000, 0.000)